The following is a PBE calculation of a relaxed structure of BaPbF2, from Alexandria via LeMat-Bulk.

Lattice parameters (Å, degrees): 7.444 7.444 7.444 127.95 127.95 76.71
Fractional coordinates of all 8 atoms:
Ba1 0.000 0.000 0.000
Ba2 0.750 0.250 0.500
Pb1 0.250 0.750 0.500
Pb2 0.500 0.500 0.000
F1 0.054 0.625 0.929
F2 0.375 0.304 0.429
F3 0.696 0.125 0.071
F4 0.875 0.946 0.571

Output
formation energy from raw total energies: -2.20 eV/atom
magnetic moment: 0.000 μB/atom
energy relative to the lowest polymorph listed for this composition: 0.322 eV per atom
raw total energy: -4.54 eV per atom